Density functional theory data (PBE-GGA) for a relaxed YPt3N crystal.

- E above lowest polymorph (eV per atom) = 0.000
- SG = Pm-3m, No. 221

Unit cell a=4.330 b=4.330 c=4.330 alpha=90.00 beta=90.00 gamma=90.00
Sites, in units of the cell vectors:
Pt (0.500, 0.000, 0.000)
Y (0.500, 0.500, 0.500)
N (0.000, 0.000, 0.000)
Pt (0.000, 0.500, 0.000)
Pt (0.000, 0.000, 0.500)